No. 1
The following is a PBE calculation of crystalline AgMo2Ru2 at its relaxed geometry, from Alexandria.

calculated total energy: -79.78 eV per cell
excess energy over the best structure of this formula in the dataset: 410.7 meV per atom
calculated formation energy: 0.635 eV per atom

Unit cell a=4.074 b=4.074 c=10.874 alpha=90.00 beta=90.00 gamma=90.00
Atoms (fractional coordinates):
Ag 0.000 0.000 0.000
Ag 0.500 0.500 0.500
Mo 0.000 0.000 0.383
Mo 0.000 0.000 0.617
Mo 0.500 0.500 0.117
Mo 0.500 0.500 0.883
Ru 0.000 0.500 0.250
Ru 0.000 0.500 0.750
Ru 0.500 0.000 0.250
Ru 0.500 0.000 0.750

=====

No. 2
The following is a PBE calculation of crystalline CrCd at its relaxed geometry, from Alexandria.

calculated total energy: -9.26 eV per cell
calculated formation energy: 0.637 eV per atom

Unit cell a=3.070 b=3.070 c=4.704 alpha=90.00 beta=90.00 gamma=120.00
Atoms (fractional coordinates):
Cr 0.000 0.000 0.000
Cd 0.667 0.333 0.500

=====

No. 3
The following is a PBE calculation of crystalline Hf5Si4 at its relaxed geometry, from Alexandria.

calculated total energy: -314.88 eV per cell
excess energy over the best structure of this formula in the dataset: 0.0 meV per atom
formation energy without anion corrections: -807 meV per atom

Unit cell a=7.067 b=7.067 c=12.877 alpha=90.00 beta=90.00 gamma=90.00
Atoms (fractional coordinates):
Hf 0.001 0.147 0.126
Hf 0.002 0.347 0.533
Hf 0.147 0.001 0.874
Hf 0.153 0.502 0.783
Hf 0.174 0.826 0.250
Hf 0.326 0.326 0.000
Hf 0.347 0.002 0.467
Hf 0.353 0.501 0.376
Hf 0.498 0.847 0.717
Hf 0.499 0.647 0.124
Hf 0.501 0.353 0.624
Hf 0.502 0.153 0.217
Hf 0.647 0.499 0.876
Hf 0.653 0.998 0.967
Hf 0.674 0.674 0.500
Hf 0.826 0.174 0.750
Hf 0.847 0.498 0.283
Hf 0.853 0.999 0.374
Hf 0.998 0.653 0.033
Hf 0.999 0.853 0.626
Si 0.047 0.697 0.436
Si 0.146 0.204 0.323
Si 0.197 0.453 0.186
Si 0.204 0.146 0.677
Si 0.296 0.646 0.573
Si 0.303 0.953 0.064
Si 0.354 0.704 0.927
Si 0.453 0.197 0.814
Si 0.547 0.803 0.314
Si 0.646 0.296 0.427
Si 0.697 0.047 0.564
Si 0.704 0.354 0.073
Si 0.796 0.854 0.177
Si 0.803 0.547 0.686
Si 0.854 0.796 0.823
Si 0.953 0.303 0.936

=====

No. 4
The following is a PBE calculation of crystalline La2FeTeAs at its relaxed geometry, from Alexandria.

calculated total energy: -28.93 eV per cell
formation energy without anion corrections: -564 meV per atom

Unit cell a=5.422 b=5.422 c=4.612 alpha=90.00 beta=90.00 gamma=90.00
Atoms (fractional coordinates):
La 0.000 0.500 0.000
La 0.500 0.000 0.000
Fe 0.000 0.000 0.000
Te 0.000 0.000 0.500
As 0.500 0.500 0.500

=====

No. 5
The following is a PBE calculation of crystalline LiTiSe2O2 at its relaxed geometry, from Alexandria.

calculated total energy: -30.12 eV per cell
formation energy without anion corrections: -571 meV per atom

Unit cell a=3.464 b=3.464 c=9.821 alpha=90.00 beta=90.00 gamma=120.00
Atoms (fractional coordinates):
Li 0.000 0.000 0.000
Ti 0.000 0.000 0.500
Se 0.333 0.667 0.661
Se 0.667 0.333 0.339
O 0.333 0.667 0.059
O 0.667 0.333 0.941

=====

No. 6
The following is a PBE calculation of crystalline LiAcAl4 at its relaxed geometry, from Alexandria.

calculated total energy: -85.36 eV per cell
excess energy over the best structure of this formula in the dataset: 135.4 meV per atom
calculated formation energy: -0.058 eV per atom

Unit cell a=9.110 b=9.110 c=9.110 alpha=116.66 beta=116.66 gamma=95.89
Atoms (fractional coordinates):
Li 0.000 0.180 0.180
Li 0.000 0.820 0.820
Li 0.180 0.000 0.180
Li 0.820 0.000 0.820
Ac 0.250 0.750 0.500
Ac 0.344 0.344 0.000
Ac 0.656 0.656 0.000
Ac 0.750 0.250 0.500
Al 0.024 0.024 0.384
Al 0.024 0.641 0.000
Al 0.181 0.372 0.553
Al 0.181 0.628 0.809
Al 0.359 0.359 0.384
Al 0.359 0.976 0.000
Al 0.372 0.181 0.553
Al 0.372 0.819 0.191
Al 0.628 0.181 0.809
Al 0.628 0.819 0.447
Al 0.641 0.024 0.000
Al 0.641 0.641 0.616
Al 0.819 0.372 0.191
Al 0.819 0.628 0.447
Al 0.976 0.359 0.000
Al 0.976 0.976 0.616

=====

No. 7
The following is a PBE calculation of crystalline SnTeN2F at its relaxed geometry, from Alexandria.

calculated total energy: -23.38 eV per cell
excess energy over the best structure of this formula in the dataset: 0.0 meV per atom
formation energy without anion corrections: 458 meV per atom

Unit cell a=4.237 b=4.237 c=4.082 alpha=90.00 beta=90.00 gamma=90.00
Atoms (fractional coordinates):
Sn 0.000 0.000 0.000
Te 0.500 0.500 0.500
N 0.000 0.500 0.000
N 0.500 0.000 0.000
F 0.000 0.000 0.500

=====

No. 8
The following is a PBE calculation of crystalline NbInFeRh at its relaxed geometry, from Alexandria.

calculated total energy: -117.01 eV per cell
calculated formation energy: -0.157 eV per atom

Unit cell a=6.319 b=6.319 c=6.319 alpha=90.00 beta=90.00 gamma=90.00
Atoms (fractional coordinates):
Nb 0.000 0.000 0.000
Nb 0.000 0.500 0.500
Nb 0.500 0.000 0.500
Nb 0.500 0.500 0.000
In 0.000 0.000 0.500
In 0.000 0.500 0.000
In 0.500 0.000 0.000
In 0.500 0.500 0.500
Fe 0.250 0.250 0.750
Fe 0.250 0.750 0.250
Fe 0.750 0.250 0.250
Fe 0.750 0.750 0.750
Rh 0.250 0.250 0.250
Rh 0.250 0.750 0.750
Rh 0.750 0.250 0.750
Rh 0.750 0.750 0.250

=====

No. 9
The following is a PBE calculation of crystalline LaNdCI at its relaxed geometry, from Alexandria.

calculated total energy: -69.82 eV per cell
formation energy without anion corrections: -701 meV per atom

Unit cell a=3.905 b=3.905 c=23.823 alpha=90.00 beta=90.00 gamma=120.00
Atoms (fractional coordinates):
La 0.000 0.000 0.000
La 0.333 0.667 0.667
La 0.667 0.333 0.333
Nd 0.000 0.000 0.783
Nd 0.333 0.667 0.450
Nd 0.667 0.333 0.116
C 0.000 0.000 0.393
C 0.333 0.667 0.059
C 0.667 0.333 0.726
I 0.000 0.000 0.221
I 0.333 0.667 0.888
I 0.667 0.333 0.555

=====

No. 10
The following is a PBE calculation of crystalline RhAuS2 at its relaxed geometry, from Alexandria.

calculated total energy: -39.40 eV per cell
formation energy without anion corrections: -204 meV per atom

Unit cell a=3.586 b=6.475 c=7.228 alpha=66.37 beta=84.16 gamma=77.21
Atoms (fractional coordinates):
Rh 0.000 0.000 0.000
Rh 0.000 0.500 0.000
Au 0.500 0.000 0.500
Au 0.500 0.500 0.500
S 0.008 0.128 0.253
S 0.409 0.637 0.151
S 0.591 0.363 0.849
S 0.992 0.872 0.747

=====

No. 11
The following is a PBE calculation of crystalline CrFeHIr2 at its relaxed geometry, from Alexandria.

calculated total energy: -39.41 eV per cell
excess energy over the best structure of this formula in the dataset: 0.0 meV per atom

Unit cell a=3.886 b=3.886 c=3.775 alpha=90.00 beta=90.00 gamma=90.00
Atoms (fractional coordinates):
Cr 0.000 0.000 0.000
Fe 0.500 0.500 0.000
H 0.000 0.000 0.500
Ir 0.000 0.500 0.500
Ir 0.500 0.000 0.500

=====

No. 12
The following is a PBE calculation of crystalline CdSiRh2 at its relaxed geometry, from Alexandria.

calculated total energy: -21.82 eV per cell
formation energy without anion corrections: -194 meV per atom

Unit cell a=2.846 b=3.780 c=6.084 alpha=90.00 beta=90.00 gamma=90.00
Atoms (fractional coordinates):
Cd 0.000 0.000 0.000
Si 0.500 0.500 0.624
Rh 0.000 0.000 0.529
Rh 0.500 0.500 0.242

=====

No. 13
The following is a PBE calculation of crystalline TbNiAu at its relaxed geometry, from Alexandria.

calculated total energy: -62.08 eV per cell
calculated formation energy: -0.610 eV per atom

Unit cell a=6.184 b=5.356 c=7.463 alpha=90.00 beta=111.38 gamma=90.00
Atoms (fractional coordinates):
Tb 0.190 0.116 0.375
Tb 0.190 0.384 0.875
Tb 0.810 0.616 0.125
Tb 0.810 0.884 0.625
Ni 0.164 0.621 0.518
Ni 0.164 0.879 0.018
Ni 0.836 0.121 0.982
Ni 0.836 0.379 0.482
Au 0.409 0.593 0.295
Au 0.409 0.907 0.795
Au 0.591 0.093 0.205
Au 0.591 0.407 0.705

=====

No. 14
The following is a PBE calculation of crystalline ReRu at its relaxed geometry, from Alexandria.

calculated total energy: -129.55 eV per cell
calculated formation energy: 0.066 eV per atom

Unit cell a=2.738 b=2.738 c=26.855 alpha=90.00 beta=90.00 gamma=120.00
Atoms (fractional coordinates):
Re 0.000 0.000 0.123
Re 0.000 0.000 0.877
Re 0.333 0.667 0.544
Re 0.333 0.667 0.790
Re 0.667 0.333 0.210
Re 0.667 0.333 0.456
Ru 0.000 0.000 0.376
Ru 0.000 0.000 0.624
Ru 0.333 0.667 0.042
Ru 0.333 0.667 0.291
Ru 0.667 0.333 0.709
Ru 0.667 0.333 0.958

=====

No. 15
The following is a PBE calculation of crystalline Mn2VAu at its relaxed geometry, from Alexandria.

calculated total energy: -112.51 eV per cell
excess energy over the best structure of this formula in the dataset: 693.1 meV per atom
calculated formation energy: 0.652 eV per atom

Unit cell a=3.724 b=3.724 c=17.158 alpha=90.00 beta=90.00 gamma=90.00
Atoms (fractional coordinates):
Mn 0.164 0.250 0.125
Mn 0.250 0.664 0.375
Mn 0.250 0.836 0.875
Mn 0.336 0.250 0.625
Mn 0.664 0.750 0.625
Mn 0.750 0.164 0.875
Mn 0.750 0.336 0.375
Mn 0.836 0.750 0.125
V 0.000 0.000 0.000
V 0.000 0.500 0.250
V 0.500 0.000 0.750
V 0.500 0.500 0.500
Au 0.000 0.000 0.500
Au 0.000 0.500 0.750
Au 0.500 0.000 0.250
Au 0.500 0.500 0.000

=====

No. 16
The following is a PBE calculation of crystalline Tb3AlCo at its relaxed geometry, from Alexandria.

calculated total energy: -51.46 eV per cell
excess energy over the best structure of this formula in the dataset: 21.9 meV per atom
calculated formation energy: -0.198 eV per atom

Unit cell a=6.949 b=4.725 c=8.037 alpha=90.00 beta=111.85 gamma=90.00
Atoms (fractional coordinates):
Tb 0.062 0.250 0.257
Tb 0.299 0.250 0.926
Tb 0.352 0.750 0.596
Tb 0.648 0.250 0.404
Tb 0.701 0.750 0.074
Tb 0.938 0.750 0.743
Al 0.301 0.750 0.180
Al 0.699 0.250 0.820
Co 0.070 0.250 0.589
Co 0.930 0.750 0.411

=====

No. 17
The following is a PBE calculation of crystalline La2UPN5 at its relaxed geometry, from Alexandria.

calculated total energy: -148.37 eV per cell
formation energy without anion corrections: -667 meV per atom

Unit cell a=6.513 b=6.513 c=5.935 alpha=90.00 beta=90.00 gamma=90.00
Atoms (fractional coordinates):
La 0.173 0.327 0.000
La 0.327 0.827 0.000
La 0.673 0.173 0.000
La 0.827 0.673 0.000
U 0.000 0.000 0.500
U 0.500 0.500 0.500
P 0.000 0.500 0.500
P 0.500 0.000 0.500
N 0.000 0.000 0.000
N 0.137 0.637 0.300
N 0.137 0.637 0.700
N 0.363 0.137 0.300
N 0.363 0.137 0.700
N 0.500 0.500 0.000
N 0.637 0.863 0.300
N 0.637 0.863 0.700
N 0.863 0.363 0.300
N 0.863 0.363 0.700

=====

No. 18
The following is a PBE calculation of crystalline MoRh2 at its relaxed geometry, from Alexandria.

calculated total energy: -52.04 eV per cell
calculated formation energy: -0.162 eV per atom

Unit cell a=2.770 b=2.770 c=11.497 alpha=90.00 beta=90.00 gamma=90.00
Atoms (fractional coordinates):
Mo 0.000 0.000 0.000
Mo 0.500 0.500 0.500
Rh 0.000 0.000 0.338
Rh 0.000 0.000 0.662
Rh 0.500 0.500 0.162
Rh 0.500 0.500 0.838

=====

No. 19
The following is a PBE calculation of crystalline SrMnAsBr2 at its relaxed geometry, from Alexandria.

calculated total energy: -18.78 eV per cell
excess energy over the best structure of this formula in the dataset: 515.8 meV per atom
formation energy without anion corrections: 14 meV per atom

Unit cell a=5.728 b=5.728 c=6.259 alpha=90.00 beta=90.00 gamma=90.00
Atoms (fractional coordinates):
Sr 0.000 0.000 0.000
Mn 0.500 0.500 0.500
As 0.000 0.000 0.500
Br 0.000 0.500 0.000
Br 0.500 0.000 0.000

=====

No. 20
The following is a PBE calculation of crystalline LiHoTm2 at its relaxed geometry, from Alexandria.

calculated total energy: -58.79 eV per cell
excess energy over the best structure of this formula in the dataset: 110.3 meV per atom
calculated formation energy: 0.184 eV per atom

Unit cell a=7.644 b=7.644 c=7.644 alpha=90.00 beta=90.00 gamma=90.00
Atoms (fractional coordinates):
Li 0.000 0.000 0.000
Li 0.000 0.500 0.500
Li 0.500 0.000 0.500
Li 0.500 0.500 0.000
Ho 0.000 0.000 0.500
Ho 0.000 0.500 0.000
Ho 0.500 0.000 0.000
Ho 0.500 0.500 0.500
Tm 0.250 0.250 0.250
Tm 0.250 0.250 0.750
Tm 0.250 0.750 0.250
Tm 0.250 0.750 0.750
Tm 0.750 0.250 0.250
Tm 0.750 0.250 0.750
Tm 0.750 0.750 0.250
Tm 0.750 0.750 0.750

=====

No. 21
The following is a PBE calculation of crystalline NdSmGa at its relaxed geometry, from Alexandria.

calculated total energy: -52.93 eV per cell
excess energy over the best structure of this formula in the dataset: 156.8 meV per atom
calculated formation energy: -0.240 eV per atom

Unit cell a=7.182 b=7.182 c=7.182 alpha=90.00 beta=90.00 gamma=90.00
Atoms (fractional coordinates):
Nd 0.000 0.000 0.000
Nd 0.000 0.500 0.500
Nd 0.500 0.000 0.500
Nd 0.500 0.500 0.000
Sm 0.000 0.000 0.500
Sm 0.000 0.500 0.000
Sm 0.500 0.000 0.000
Sm 0.500 0.500 0.500
Ga 0.250 0.250 0.750
Ga 0.250 0.750 0.250
Ga 0.750 0.250 0.250
Ga 0.750 0.750 0.750

=====

No. 22
The following is a PBE calculation of crystalline Tl3Hg2Se4 at its relaxed geometry, from Alexandria.

calculated total energy: -47.56 eV per cell
formation energy without anion corrections: -238 meV per atom

Unit cell a=8.878 b=8.878 c=7.262 alpha=93.03 beta=93.03 gamma=78.20
Atoms (fractional coordinates):
Tl 0.116 0.884 0.750
Tl 0.254 0.508 0.072
Tl 0.492 0.746 0.428
Tl 0.508 0.254 0.572
Tl 0.746 0.492 0.928
Tl 0.884 0.116 0.250
Hg 0.088 0.332 0.620
Hg 0.332 0.088 0.120
Hg 0.668 0.912 0.880
Hg 0.912 0.668 0.380
Se 0.063 0.249 0.966
Se 0.213 0.563 0.509
Se 0.249 0.063 0.466
Se 0.437 0.787 0.991
Se 0.563 0.213 0.009
Se 0.751 0.937 0.534
Se 0.787 0.437 0.491
Se 0.937 0.751 0.034

=====

No. 23
The following is a PBE calculation of crystalline Rb3MgAg2Br6 at its relaxed geometry, from Alexandria.

calculated total energy: -33.00 eV per cell
formation energy without anion corrections: -1064 meV per atom

Unit cell a=7.925 b=7.925 c=8.537 alpha=90.00 beta=90.00 gamma=120.00
Atoms (fractional coordinates):
Rb 0.000 0.000 0.000
Rb 0.333 0.667 0.628
Rb 0.667 0.333 0.372
Mg 0.000 0.000 0.500
Ag 0.333 0.667 0.148
Ag 0.667 0.333 0.852
Br 0.160 0.320 0.312
Br 0.160 0.840 0.312
Br 0.320 0.160 0.688
Br 0.680 0.840 0.312
Br 0.840 0.160 0.688
Br 0.840 0.680 0.688